Record 1
## B2SbP (PBE)

Data for B2SbP after structural relaxation.

Results
Crystal system: cubic
Formation energy from raw total energies: 1601 meV per atom
N(E_F): 0.61 states/eV/atom
Final energy: -4.12 eV per atom

a = 4.2132 Å, b = 4.2132 Å, c = 4.2132 Å
α = 60.00°, β = 60.00°, γ = 60.00°
Atoms (fractional coordinates):
Sb: 0.5000 0.5000 0.5000
B: 0.2500 0.2500 0.2500
B: 0.7500 0.7500 0.7500
P: 0.0000 0.0000 0.0000


Record 2
## Cr4AgAu (PBE)

Data for Cr4AgAu after structural relaxation.

Results
Crystal system: cubic
E_form: 0.42 eV/atom
N(E_F): 0.95 states/eV/atom
Final energy: -7.02 eV per atom

a = 4.8736 Å, b = 4.8736 Å, c = 4.8736 Å
α = 60.00°, β = 60.00°, γ = 60.00°
Atoms (fractional coordinates):
Cr: 0.8639 0.3787 0.3787
Cr: 0.3787 0.3787 0.8639
Cr: 0.3787 0.8639 0.3787
Cr: 0.3787 0.3787 0.3787
Ag: 0.7500 0.7500 0.7500
Au: 0.0000 0.0000 0.0000


Record 3
## RbMgHI2 (PBE)

Data for RbMgHI2 after structural relaxation.

Results
Crystal system: tetragonal
Distance to the lowest polymorph of the same formula: 1220 meV/atom
N(E_F): 2.31 states/eV/atom
Final energy: -1.43 eV per atom

a = 6.9682 Å, b = 7.7538 Å, c = 6.9682 Å
α = 90.00°, β = 90.00°, γ = 90.00°
Site moments in Bohr magnetons follow the coordinates.
Atoms (fractional coordinates):
I: 0.0000 0.0000 0.5000  0.22
I: 0.5000 0.0000 0.0000  0.18
H: 0.5000 0.5000 0.5000  0.38
Mg: 0.0000 0.5000 0.0000  0.07
Rb: 0.0000 0.0000 0.0000  0.00


Record 4
## Pm2Sm2Tc (PBE)

Data for Pm2Sm2Tc after structural relaxation.

Results
Crystal system: monoclinic
E_form: 0.04 eV/atom
N(E_F): 1.04 states/eV/atom
Final energy: -5.82 eV per atom

a = 7.5758 Å, b = 7.1988 Å, c = 7.9140 Å
α = 73.46°, β = 57.26°, γ = 58.25°
Atoms (fractional coordinates):
Pm: 0.1778 0.0000 0.0975
Pm: 0.8222 0.0000 0.9025
Pm: 0.6522 0.0000 0.5871
Pm: 0.3478 0.0000 0.4129
Sm: 0.5665 0.4512 0.2526
Sm: 0.9823 0.4512 0.7474
Sm: 0.4335 0.5488 0.7474
Sm: 0.0177 0.5488 0.2526
Tc: 0.8733 0.2534 0.5000
Tc: 0.1267 0.7466 0.5000


Record 5
## Pr2Cd3Cu2 (PBE)

Data for Pr2Cd3Cu2 after structural relaxation.

Results
Crystal system: monoclinic
E_form: -0.23 eV/atom
N(E_F): 0.69 states/eV/atom
Final energy: -3.16 eV per atom

a = 4.4668 Å, b = 6.1583 Å, c = 7.0643 Å
α = 114.25°, β = 90.00°, γ = 111.26°
Atoms (fractional coordinates):
Pr: 0.6375 0.2750 0.7660
Pr: 0.3625 0.7250 0.2340
Cd: 0.3318 0.6637 0.7063
Cd: 0.0000 0.0000 0.0000
Cd: 0.6682 0.3363 0.2937
Cu: 0.0763 0.1526 0.4207
Cu: 0.9237 0.8474 0.5793


Record 6
## Mn2ReSi (PBE)

Data for Mn2ReSi after structural relaxation.

Results
Crystal system: tetragonal
Formation energy from raw total energies: -101 meV per atom
N(E_F): 0.92 states/eV/atom
Final energy: -9.15 eV per atom

a = 4.5083 Å, b = 4.5083 Å, c = 4.5083 Å
α = 131.72°, β = 131.72°, γ = 70.67°
Site moments in Bohr magnetons follow the coordinates.
Atoms (fractional coordinates):
Mn: 0.0000 0.0000 0.0000  1.68
Mn: 0.5000 0.5000 0.0000  1.68
Re: 0.2500 0.7500 0.5000  -0.29
Si: 0.7500 0.2500 0.5000  -0.04


Record 7
## CaHI2 (PBE)

Data for CaHI2 after structural relaxation.

Results
Crystal system: triclinic
N(E_F): 0.28 states/eV/atom
Final energy: -2.78 eV per atom

a = 3.4253 Å, b = 4.0970 Å, c = 9.4856 Å
α = 96.32°, β = 96.80°, γ = 114.67°
Atoms (fractional coordinates):
Ca: 0.7134 0.7524 0.7362
H: 0.3915 0.1092 0.7361
I: 0.8996 0.3036 0.4626
I: 0.2003 0.5478 0.0099


Record 8
## ScOsN2F (PBE)

Data for ScOsN2F after structural relaxation.

Results
Crystal system: tetragonal
Distance to the lowest polymorph of the same formula: 0 meV/atom
Formation energy from raw total energies: -253 meV per atom
N(E_F): 0.71 states/eV/atom
Final energy: -7.47 eV per atom

a = 3.8415 Å, b = 3.8415 Å, c = 4.3319 Å
α = 90.00°, β = 90.00°, γ = 90.00°
Atoms (fractional coordinates):
Sc: 0.5000 0.5000 0.5000
N: 0.0000 0.5000 0.0000
N: 0.5000 0.0000 0.0000
Os: 0.0000 0.0000 0.0000
F: 0.0000 0.0000 0.5000